ZnMoCl2 | PBE-GGA | relaxed

```
data_ZnMoCl2
_cell_length_a 3.1169
_cell_length_b 3.1169
_cell_length_c 30.3272
_cell_angle_alpha 90.00
_cell_angle_beta 90.00
_cell_angle_gamma 120.00
_space_group_name_H-M_alt 'R -3 m'
_space_group_IT_number 166
_space_group_name_Hall '-R 3 2"'
loop_
_atom_site_label
_atom_site_type_symbol
_atom_site_fract_x
_atom_site_fract_y
_atom_site_fract_z
_atom_site_occupancy
Zn1 Zn 0.0000 0.0000 0.0000 1
Mo1 Mo 0.0000 0.0000 0.5000 1
Cl1 Cl 0.0000 0.0000 0.2237 1
```

Output
E_form (uncorrected) (kJ/mol of formula units): -57
Magnetization (μB per formula unit): 0.0